No. 1
Entry from Alexandria via LeMat-Bulk: an optimized crystal structure of Na2CuClO (PBE).

Values from the calculation:
**Symmetry**: P4/mmm, No. 123
**ΔE_f (raw)**: -1219 meV per atom
**E**: -0.2886 Ry per atom

a = 4.846 Å, b = 4.846 Å, c = 3.661 Å
α = 90.00°, β = 90.00°, γ = 90.00°
Positions (direct):
Na 0.500 0.000 0.000
Na 0.000 0.500 0.000
O 0.000 0.000 0.000
Cu 0.000 0.000 0.500
Cl 0.500 0.500 0.500



No. 2
Entry from Alexandria via LeMat-Bulk: an optimized crystal structure of NaPaCu2Cl8 (PBE).

Values from the calculation:
**Symmetry**: P-1, No. 2
**ΔE_f (raw)**: -1377 meV per atom
**E**: -0.3081 Ry per atom

a = 6.840 Å, b = 7.596 Å, c = 8.464 Å
α = 74.11°, β = 86.63°, γ = 117.53°
Positions (direct):
Cl 0.552 0.735 0.541
Cl 0.969 0.239 0.724
Cl 0.979 0.232 0.162
Cl 0.021 0.768 0.838
Cl 0.563 0.765 0.077
Cl 0.448 0.265 0.459
Cl 0.031 0.761 0.276
Cl 0.437 0.235 0.923
Na 0.000 0.000 0.500
Pa 0.000 0.000 0.000
Cu 0.361 0.377 0.679
Cu 0.639 0.623 0.321



No. 3
Entry from Alexandria via LeMat-Bulk: an optimized crystal structure of NaCu2PbCl6 (PBE).

Values from the calculation:
**Symmetry**: P1, No. 1
**ΔE_f (raw)**: -933 meV per atom
**E**: -0.2472 Ry per atom

a = 6.769 Å, b = 6.793 Å, c = 7.949 Å
α = 90.42°, β = 116.08°, γ = 118.80°
Positions (direct):
Cl 0.786 0.723 0.207
Cl 0.134 0.216 0.701
Cl 0.488 0.934 0.712
Cl 0.515 0.084 0.210
Cl 0.864 0.565 0.770
Cl 0.220 0.427 0.276
Na 0.992 0.508 0.482
Cu 0.482 0.749 0.234
Cu 0.494 0.268 0.730
Pb 0.992 0.003 0.981



No. 4
Entry from Alexandria via LeMat-Bulk: an optimized crystal structure of Na3Cu4PbCl12 (PBE).

Values from the calculation:
**Symmetry**: R32, No. 155
**ΔE_f (raw)**: -922 meV per atom
**E**: -0.2376 Ry per atom

a = 8.648 Å, b = 8.648 Å, c = 8.648 Å
α = 103.45°, β = 103.45°, γ = 103.45°
Positions (direct):
Cl 0.660 0.500 0.340
Cl 0.901 0.500 0.099
Cl 0.799 0.023 0.676
Cl 0.340 0.660 0.500
Cl 0.023 0.676 0.799
Cl 0.500 0.099 0.901
Cl 0.500 0.340 0.660
Cl 0.977 0.201 0.324
Cl 0.324 0.977 0.201
Cl 0.201 0.324 0.977
Cl 0.676 0.799 0.023
Cl 0.099 0.901 0.500
Na 0.558 0.442 0.000
Na 0.000 0.558 0.442
Na 0.442 0.000 0.558
Cu 0.063 0.500 0.937
Cu 0.500 0.500 0.500
Cu 0.937 0.063 0.500
Cu 0.500 0.937 0.063
Pb 0.000 0.000 0.000



No. 5
Entry from Alexandria via LeMat-Bulk: an optimized crystal structure of NaCu2PbCl8 (PBE).

Values from the calculation:
**Symmetry**: I-4, No. 82
**ΔE_f (raw)**: -740 meV per atom
**E**: -0.2259 Ry per atom

a = 6.517 Å, b = 6.517 Å, c = 8.511 Å
α = 112.51°, β = 112.51°, γ = 90.00°
Positions (direct):
Cu 0.250 0.750 0.500
Cu 0.500 0.500 0.000
Cl 0.701 0.278 0.863
Cl 0.722 0.838 0.137
Cl 0.048 0.971 0.636
Cl 0.162 0.585 0.863
Cl 0.588 0.665 0.636
Cl 0.335 0.952 0.364
Cl 0.029 0.412 0.364
Cl 0.415 0.299 0.137
Pb 0.000 0.000 0.000
Na 0.750 0.250 0.500



No. 6
Entry from Alexandria via LeMat-Bulk: an optimized crystal structure of Na2CuPdCl6 (PBE).

Values from the calculation:
**Symmetry**: P2_1/c, No. 14
**ΔE_f (raw)**: -974 meV per atom
**E**: -0.2407 Ry per atom

a = 6.664 Å, b = 6.741 Å, c = 9.703 Å
α = 90.00°, β = 86.98°, γ = 90.00°
Positions (direct):
Na 0.026 0.934 0.263
Na 0.974 0.066 0.737
Na 0.526 0.566 0.763
Na 0.474 0.434 0.237
Cl 0.804 0.793 0.942
Cl 0.684 0.276 0.948
Cl 0.889 0.536 0.235
Cl 0.816 0.776 0.552
Cl 0.304 0.707 0.442
Cl 0.696 0.293 0.558
Cl 0.111 0.464 0.765
Cl 0.196 0.207 0.058
Cl 0.184 0.224 0.448
Cl 0.316 0.724 0.052
Cl 0.389 0.964 0.735
Cl 0.611 0.036 0.265
Pd 0.500 0.000 0.500
Pd 0.000 0.500 0.000
Cu 0.000 0.500 0.500
Cu 0.500 0.000 0.000



No. 7
Entry from Alexandria via LeMat-Bulk: an optimized crystal structure of NaCuPdCl6 (PBE).

Values from the calculation:
**Symmetry**: P4_2nm, No. 102
**ΔE_f (raw)**: -691 meV per atom
**E**: -0.2279 Ry per atom

a = 6.089 Å, b = 6.089 Å, c = 11.073 Å
α = 90.00°, β = 90.00°, γ = 90.00°
Positions (direct):
Cl 0.824 0.176 0.500
Cl 0.707 0.707 0.313
Cl 0.198 0.802 0.186
Cl 0.302 0.302 0.686
Cl 0.793 0.207 0.813
Cl 0.698 0.698 0.686
Cl 0.324 0.324 0.000
Cl 0.207 0.793 0.813
Cl 0.293 0.293 0.313
Cl 0.802 0.198 0.186
Cl 0.676 0.676 0.000
Cl 0.176 0.824 0.500
Pd 0.000 0.000 0.334
Pd 0.500 0.500 0.834
Cu 0.500 0.500 0.173
Cu 0.000 0.000 0.673
Na 0.500 0.500 0.496
Na 0.000 0.000 0.996



No. 8
Entry from Alexandria via LeMat-Bulk: an optimized crystal structure of NaCuPd2Cl6 (PBE).

Values from the calculation:
**Symmetry**: P1, No. 1
**ΔE_f (raw)**: -650 meV per atom
**E**: -0.2453 Ry per atom

a = 6.465 Å, b = 6.467 Å, c = 7.019 Å
α = 89.99°, β = 117.48°, γ = 120.01°
Positions (direct):
Na 0.010 0.505 0.501
Cl 0.758 0.701 0.146
Cl 0.104 0.403 0.147
Cl 0.708 0.556 0.647
Cl 0.460 0.056 0.147
Cl 0.105 0.152 0.647
Cl 0.510 0.952 0.647
Pd 0.606 0.802 0.395
Pd 0.604 0.301 0.891
Cu 0.100 0.050 0.136



No. 9
Entry from Alexandria via LeMat-Bulk: an optimized crystal structure of NaPrCu2Cl8 (PBE).

Values from the calculation:
**Symmetry**: I-4, No. 82
**ΔE_f (raw)**: -1237 meV per atom
**E**: -0.2689 Ry per atom

a = 6.519 Å, b = 6.519 Å, c = 8.275 Å
α = 113.20°, β = 113.20°, γ = 90.00°
Positions (direct):
Cu 0.500 0.500 0.000
Cu 0.250 0.750 0.500
Cl 0.422 0.298 0.147
Cl 0.046 0.981 0.637
Cl 0.725 0.849 0.147
Cl 0.702 0.275 0.853
Cl 0.591 0.656 0.637
Cl 0.151 0.578 0.853
Cl 0.019 0.409 0.363
Cl 0.344 0.954 0.363
Pr 0.750 0.250 0.500
Na 0.000 0.000 0.000



No. 10
Entry from Alexandria via LeMat-Bulk: an optimized crystal structure of Na2PrCuCl6 (PBE).

Values from the calculation:
**Symmetry**: Fm-3m, No. 225
**ΔE_f (raw)**: -1516 meV per atom
**E**: -0.2775 Ry per atom

a = 7.402 Å, b = 7.402 Å, c = 7.402 Å
α = 60.00°, β = 60.00°, γ = 60.00°
Positions (direct):
Na 0.250 0.250 0.250
Na 0.750 0.750 0.750
Cl 0.261 0.739 0.261
Cl 0.739 0.739 0.261
Cl 0.739 0.261 0.739
Cl 0.261 0.739 0.739
Cl 0.739 0.261 0.261
Cl 0.261 0.261 0.739
Cu 0.500 0.500 0.500
Pr 0.000 0.000 0.000